No. 1
The following is a GGA-PBE calculation of a relaxed structure of CdTeAu, from Alexandria via LeMat-Bulk.

Cell: 3.2707 3.2707 13.4198 Å, 90.00 90.00 90.00°
Last column: nearest neighbours and their distance in Å.
Space group I4mm (No. 107)
Unique sites:
Cd (0.0000, 0.0000, 0.0000) (multiplicity 2)  4 Au 2.88
Te (0.0000, 0.0000, 0.3062) (multiplicity 2)  4 Te 3.27, 4 Au 3.32, 4 Cd 3.48
Au (0.0000, 0.0000, 0.6283) (multiplicity 2)  4 Cd 2.88

VASP energy = -2.331 eV/atom
excess energy over the best structure of this formula in the dataset = 285 meV/atom
energy relative to the elements, uncorrected = 0.11 eV per atom
magnetization = 0.00 μB/cell
density = 10.1 Mg/m³

No. 2
The following is a GGA-PBE calculation of a relaxed structure of ErZnP2Rh5, from Alexandria via LeMat-Bulk.

Cell: 4.0396 4.0396 9.6240 Å, 90.00 90.00 90.00°
Last column: nearest neighbours and their distance in Å.
Space group P4/mmm (No. 123)
Unique sites:
Er (0.0000, 0.0000, 0.0000) (multiplicity 1)  4 Rh 2.86
Zn (0.0000, 0.0000, 0.5000) (multiplicity 1)  8 Rh 2.55
P (0.5000, 0.5000, 0.2332) (multiplicity 2)  5 Rh 2.24-2.26
Rh (0.0000, 0.5000, 0.3381) (multiplicity 4)  2 P 2.26
Rh (0.5000, 0.5000, 0.0000) (multiplicity 1)  2 P 2.24

VASP energy = -6.509 eV/atom
energy of formation = -574 meV/atom
magnetization = 0.00 μB/cell
density = 8.6 Mg/m³

No. 3
The following is a GGA-PBE calculation of a relaxed structure of Ce2GeW, from Alexandria via LeMat-Bulk.

Cell: 3.0009 3.0009 32.6022 Å, 90.00 90.00 120.00°
Last column: nearest neighbours and their distance in Å.
Space group R-3m (No. 166, hexagonal axes)
Unique sites:
Ce (0.0000, 0.0000, 0.0857) (multiplicity 6)  1 W 2.79, 6 Ce 3.00
Ge (0.0000, 0.0000, 0.5000) (multiplicity 3)  6 Ge 3.00, 6 Ce 3.16
W (0.0000, 0.0000, 0.0000) (multiplicity 3)  2 Ce 2.79, 6 W 3.00

VASP energy = -7.019 eV/atom
energy of formation = 341 meV/atom
magnetization = 0.00 μB/cell
density = 10.5 Mg/m³

No. 4
The following is a GGA-PBE calculation of a relaxed structure of Cs2UHg2O6, from Alexandria via LeMat-Bulk.

Cell: 7.4296 9.8386 7.7323 Å, 90.00 117.48 90.00°
Last column: nearest neighbours and their distance in Å.
Space group C2/m (No. 12)
Unique sites:
Cs (0.0000, 0.1975, 0.0000) (multiplicity 4)  4 O 2.96-2.98
U (0.0000, 0.5000, 0.5000) (multiplicity 2)  6 O 2.05-2.29
Hg (0.0000, 0.1665, 0.5000) (multiplicity 4)  4 O 2.27-2.33
O (0.0698, 0.3525, 0.7087) (multiplicity 8)  1 U 2.05
O (0.1640, 0.0000, 0.4261) (multiplicity 4)  2 Hg 2.27, 1 U 2.29

VASP energy = -5.595 eV/atom
energy relative to the elements, uncorrected = -1.65 eV per atom
magnetization = 0.00 μB/cell
density = 6.6 Mg/m³

Q: What is the density in the first record?
A: 10.1 Mg/m³